Record 1
Y2TmFe7Co2 | PBE | relaxed

The structure in CIF format:
```
data_Y2TmFe7Co2
_cell_length_a 5.0391
_cell_length_b 5.0391
_cell_length_c 24.3434
_cell_angle_alpha 90.00
_cell_angle_beta 90.00
_cell_angle_gamma 120.00
_symmetry_space_group_name_H-M 'R -3 m'
_symmetry_Int_Tables_number 166
_symmetry_space_group_name_Hall '-R 3 2"'
loop_
_atom_site_label
_atom_site_fract_x
_atom_site_fract_y
_atom_site_fract_z
_atom_site_occupancy
Y1 0.0000 0.0000 0.1418 1
Tm1 0.0000 0.0000 0.0000 1
Fe1 0.0000 0.0000 0.5000 1
Fe2 0.0013 0.5006 0.0809 1
Co1 0.0000 0.0000 0.3323 1
```



Record 2
Y2Fe2Co15 | PBE | relaxed

The structure in CIF format:
```
data_Y2Fe2Co15
_cell_length_a 8.2884
_cell_length_b 8.2884
_cell_length_c 12.0466
_cell_angle_alpha 90.00
_cell_angle_beta 90.00
_cell_angle_gamma 120.00
_symmetry_space_group_name_H-M 'R -3 m'
_symmetry_Int_Tables_number 166
_symmetry_space_group_name_Hall '-R 3 2"'
loop_
_atom_site_label
_atom_site_fract_x
_atom_site_fract_y
_atom_site_fract_z
_atom_site_occupancy
Y1 0.0000 0.0000 0.1547 1
Fe1 0.0000 0.0000 0.4019 1
Co1 0.0000 0.2888 0.5000 1
Co2 0.0000 0.5000 0.0000 1
Co3 0.0015 0.5008 0.3471 1
```



Calculated M_tot (μB/cell), listed in the same order as above: 49.1, 80.5
Calculated energy relative to the elements (meV/atom), listed in the same order as above: -96, -106